[1]
## CeErTlIr (GGA-PBE)

Data for a relaxed CeErTlIr crystal.

Values from the calculation:
- DFT total energy (eV/atom) = -5.8095
- formation energy from the elements (eV per atom) = -0.3785
- offset from the most stable computed form (eV per formula unit) = 0.76
- SG = F-43m (216)

Unit cell a=5.1402 b=5.1402 c=5.1402 alpha=60.00 beta=60.00 gamma=60.00
Last column: magnetic moment on the atom in μB.
Fractional coordinates of all 4 atoms:
Tl 0.5000 0.5000 0.5000  0.00
Ir 0.0000 0.0000 0.0000  -0.01
Ce 0.2500 0.2500 0.2500  0.43
Er 0.7500 0.7500 0.7500  0.03

[2]
## CeErZnIr (GGA-PBE)

Data for a relaxed CeErZnIr crystal.

Values from the calculation:
- DFT total energy (eV/atom) = -5.6932
- formation energy from the elements (eV per atom) = -0.5353
- SG = F-43m (216)

Unit cell a=4.9611 b=4.9611 c=4.9611 alpha=60.00 beta=60.00 gamma=60.00
Last column: magnetic moment on the atom in μB.
Fractional coordinates of all 4 atoms:
Zn 0.0000 0.0000 0.0000  0.01
Ir 0.5000 0.5000 0.5000  0.00
Ce 0.2500 0.2500 0.2500  0.53
Er 0.7500 0.7500 0.7500  0.04

[3]
## K2CeErO4 (GGA-PBE)

Data for a relaxed K2CeErO4 crystal.

Values from the calculation:
- DFT total energy (eV/atom) = -6.7427
- SG = P2/m (10)

Unit cell a=3.5459 b=6.1551 c=6.5965 alpha=108.01 beta=90.00 gamma=90.00
Last column: magnetic moment on the atom in μB.
Fractional coordinates of all 8 atoms:
K 0.5000 0.0000 0.5000  0.00
K 0.0000 0.5000 0.5000  0.01
Ce 0.5000 0.5000 0.0000  0.88
Er 0.0000 0.0000 0.0000  0.02
O 0.5000 0.2187 0.1846  -0.01
O 0.5000 0.7813 0.8154  -0.01
O 0.0000 0.2594 0.8124  -0.01
O 0.0000 0.7406 0.1876  -0.01

[4]
## K3CeEr2O6 (GGA-PBE)

Data for a relaxed K3CeEr2O6 crystal.

Values from the calculation:
- DFT total energy (eV/atom) = -6.7263
- SG = C2/m (12)

Unit cell a=6.0901 b=6.0901 c=6.5864 alpha=98.86 beta=98.86 gamma=120.00
Last column: magnetic moment on the atom in μB.
Fractional coordinates of all 12 atoms:
K 0.1678 0.8322 0.5000  0.00
K 0.8322 0.1678 0.5000  0.00
K 0.5000 0.5000 0.5000  0.00
Ce 0.0000 0.0000 0.0000  0.88
Er 0.3334 0.6666 0.0000  0.01
Er 0.6666 0.3334 0.0000  0.01
O 0.9383 0.5935 0.8150  -0.01
O 0.7169 0.7169 0.1850  -0.01
O 0.0617 0.4065 0.1850  -0.01
O 0.5935 0.9383 0.8150  -0.01
O 0.2831 0.2831 0.8150  -0.01
O 0.4065 0.0617 0.1850  -0.01

[5]
## K3Ce2ErO6 (GGA-PBE)

Data for a relaxed K3Ce2ErO6 crystal.

Values from the calculation:
- DFT total energy (eV/atom) = -6.7686
- SG = C2/m (12)

Unit cell a=6.2067 b=6.2067 c=6.6086 alpha=99.00 beta=99.00 gamma=120.00
Last column: magnetic moment on the atom in μB.
Fractional coordinates of all 12 atoms:
K 0.1647 0.8353 0.5000  0.01
K 0.8353 0.1647 0.5000  0.01
K 0.5000 0.5000 0.5000  0.01
Ce 0.3332 0.6668 0.0000  0.90
Ce 0.6668 0.3332 0.0000  0.90
Er 0.0000 0.0000 0.0000  0.03
O 0.9375 0.6159 0.8125  -0.01
O 0.7407 0.7407 0.1872  -0.01
O 0.0625 0.3841 0.1875  -0.01
O 0.6159 0.9375 0.8125  -0.01
O 0.2593 0.2593 0.8128  -0.01
O 0.3841 0.0625 0.1875  -0.01

[6]
## K4Ce3ErO8 (GGA-PBE)

Data for a relaxed K4Ce3ErO8 crystal.

Values from the calculation:
- DFT total energy (eV/atom) = -6.7795
- SG = R-3m (166)

Unit cell a=7.1936 b=7.5324 c=7.1934 alpha=118.53 beta=120.00 gamma=90.00
Last column: magnetic moment on the atom in μB.
Fractional coordinates of all 16 atoms:
K 0.5000 0.0000 0.0000  0.01
K 0.5000 0.0000 0.5000  0.01
K 0.0000 0.0000 0.0000  0.01
K 0.0000 0.0000 0.5000  0.01
Ce 0.5000 0.5000 0.0000  0.89
Ce 0.5000 0.5000 0.5000  0.89
Ce 0.0000 0.5000 0.5000  0.89
Er 0.0000 0.5000 0.0000  0.03
O 0.2236 0.6868 0.9633  -0.01
O 0.2236 0.6868 0.4473  -0.01
O 0.2692 0.3076 0.5384  -0.02
O 0.7397 0.6868 0.9633  -0.01
O 0.2603 0.3132 0.0367  -0.01
O 0.7308 0.6924 0.4616  -0.02
O 0.7764 0.3132 0.5527  -0.01
O 0.7764 0.3132 0.0367  -0.01

[7]
## K2CeEr2S6 (GGA-PBE)

Data for a relaxed K2CeEr2S6 crystal.

Values from the calculation:
- DFT total energy (eV/atom) = -5.6815
- SG = C2/m (12)

Unit cell a=6.9501 b=6.9501 c=7.8627 alpha=98.51 beta=98.51 gamma=120.05
Fractional coordinates of all 11 atoms:
K 0.8325 0.1675 0.0000
K 0.1675 0.8325 0.0000
Ce 0.0000 0.0000 0.5000
Er 0.3338 0.6662 0.5000
Er 0.6662 0.3338 0.5000
S 0.7330 0.7330 0.6943
S 0.0627 0.3990 0.6944
S 0.2670 0.2670 0.3057
S 0.3990 0.0627 0.6944
S 0.9373 0.6010 0.3056
S 0.6010 0.9373 0.3056

[8]
## K3CeEr2S6 (GGA-PBE)

Data for a relaxed K3CeEr2S6 crystal.

Values from the calculation:
- DFT total energy (eV/atom) = -5.4426
- SG = C2/m (12)

Unit cell a=7.0823 b=7.0823 c=7.7303 alpha=98.79 beta=98.79 gamma=120.00
Last column: magnetic moment on the atom in μB.
Fractional coordinates of all 12 atoms:
K 0.1658 0.8342 0.5000  0.00
K 0.8342 0.1658 0.5000  0.00
K 0.5000 0.5000 0.5000  0.00
Ce 0.0000 0.0000 0.0000  0.94
Er 0.3332 0.6668 0.0000  0.01
Er 0.6668 0.3332 0.0000  0.01
S 0.9327 0.5889 0.7982  -0.01
S 0.7235 0.7235 0.2019  -0.01
S 0.0673 0.4111 0.2018  -0.01
S 0.5889 0.9327 0.7982  -0.01
S 0.2765 0.2765 0.7981  -0.01
S 0.4111 0.0673 0.2018  -0.01

[9]
## K3CeEr3S8 (GGA-PBE)

Data for a relaxed K3CeEr3S8 crystal.

Values from the calculation:
- DFT total energy (eV/atom) = -5.5962
- SG = R-3m (166)

Unit cell a=8.0216 b=8.0232 c=8.7861 alpha=117.20 beta=90.00 gamma=119.99
Fractional coordinates of all 15 atoms:
K 0.0000 0.0000 0.0000
K 0.0000 0.5000 0.0000
K 0.5000 0.5000 0.0000
Ce 0.0000 0.0000 0.5000
Er 0.5000 0.0000 0.5000
Er 0.5000 0.5000 0.5000
Er 0.0000 0.5000 0.5000
S 0.2671 0.5343 0.3016
S 0.7329 0.4657 0.6984
S 0.7679 0.5357 0.3044
S 0.2321 0.4643 0.6956
S 0.7679 0.0364 0.3044
S 0.2321 0.9636 0.6956
S 0.2685 0.0364 0.3044
S 0.7315 0.9636 0.6956

[10]
## K3Ce3ErS8 (GGA-PBE)

Data for a relaxed K3Ce3ErS8 crystal.

Values from the calculation:
- DFT total energy (eV/atom) = -5.7497
- SG = R-3m (166)

Unit cell a=8.2632 b=8.2633 c=8.8377 alpha=117.88 beta=90.00 gamma=120.00
Last column: magnetic moment on the atom in μB.
Fractional coordinates of all 15 atoms:
K 0.0000 0.0000 0.0000  0.00
K 0.0000 0.5000 0.0000  0.00
K 0.5000 0.5000 0.0000  0.00
Ce 0.5000 0.0000 0.5000  0.69
Ce 0.5000 0.5000 0.5000  -0.70
Ce 0.0000 0.5000 0.5000  0.69
Er 0.0000 0.0000 0.5000  0.00
S 0.2651 0.5301 0.2953  -0.01
S 0.7349 0.4699 0.7047  -0.01
S 0.7721 0.5440 0.3050  0.00
S 0.2279 0.4560 0.6950  0.00
S 0.7720 0.0329 0.3049  -0.01
S 0.2280 0.9671 0.6951  -0.01
S 0.2609 0.0329 0.3050  0.00
S 0.7391 0.9671 0.6950  0.00

[11]
## K4CeEr3S8 (GGA-PBE)

Data for a relaxed K4CeEr3S8 crystal.

Values from the calculation:
- DFT total energy (eV/atom) = -5.4217
- SG = R-3m (166)

Unit cell a=8.1412 b=8.7362 c=8.1413 alpha=117.79 beta=120.00 gamma=90.00
Last column: magnetic moment on the atom in μB.
Fractional coordinates of all 16 atoms:
K 0.5000 0.0000 0.0000  0.00
K 0.5000 0.0000 0.5000  0.00
K 0.0000 0.0000 0.0000  0.00
K 0.0000 0.0000 0.5000  0.00
Ce 0.0000 0.5000 0.0000  0.92
Er 0.5000 0.5000 0.0000  0.01
Er 0.5000 0.5000 0.5000  0.01
Er 0.0000 0.5000 0.5000  0.01
S 0.2388 0.7021 0.9635  -0.01
S 0.2388 0.7021 0.4776  -0.01
S 0.2668 0.3007 0.5337  0.00
S 0.7247 0.7021 0.9635  -0.01
S 0.2753 0.2979 0.0365  -0.01
S 0.7332 0.6993 0.4663  0.00
S 0.7612 0.2979 0.5224  -0.01
S 0.7612 0.2979 0.0365  -0.01

[12]
## K4Ce3ErSe8 (GGA-PBE)

Data for a relaxed K4Ce3ErSe8 crystal.

Values from the calculation:
- DFT total energy (eV/atom) = -5.1149
- SG = R-3m (166)

Unit cell a=8.6650 b=9.1595 c=8.6649 alpha=118.23 beta=120.00 gamma=90.00
Last column: magnetic moment on the atom in μB.
Fractional coordinates of all 16 atoms:
K 0.5000 0.0000 0.0000  0.00
K 0.5000 0.0000 0.5000  0.00
K 0.0000 0.0000 0.0000  0.00
K 0.0000 0.0000 0.5000  0.00
Ce 0.5000 0.5000 0.0000  0.96
Ce 0.5000 0.5000 0.5000  0.96
Ce 0.0000 0.5000 0.5000  0.96
Er 0.0000 0.5000 0.0000  0.01
Se 0.2310 0.7070 0.9761  -0.01
Se 0.2310 0.7071 0.4620  -0.01
Se 0.2629 0.2888 0.5259  -0.02
Se 0.7451 0.7070 0.9761  -0.01
Se 0.2549 0.2930 0.0239  -0.01
Se 0.7371 0.7112 0.4741  -0.02
Se 0.7690 0.2929 0.5380  -0.01
Se 0.7690 0.2930 0.0239  -0.01

Question: The highest DFT total energy belongs to which entry?
Answer: K4Ce3ErSe8

Question: Which of these has the highest DFT total energy?
Answer: K4Ce3ErSe8

Question: Which value of DFT total energy does entry 1 give?
Answer: -5.8095 eV/atom

Question: What is the DFT total energy in the tenth record?
Answer: -5.7497 eV/atom